A relaxed CaMg2Co crystal. Source: Alexandria via LeMat-Bulk, functional PBE.

abc: 5.920 5.920 5.054
angles: 115.06 115.06 33.32
Atoms (fractional coordinates):
Ca  0.000  0.000  0.000
Mg  0.203  0.203  0.702
Mg  0.406  0.406  0.406
Co  0.721  0.721  0.214

Summary:
Its symmetry is Cm. The crystal system is monoclinic. As for the calculated formation energy: 0.248 eV per atom.

A relaxed CaMg2Co crystal. Source: Alexandria via LeMat-Bulk, functional PBE.

abc: 6.033 6.033 4.996
angles: 114.39 114.39 31.04
Atoms (fractional coordinates):
Ca  0.000  0.000  0.000
Mg  0.198  0.198  0.697
Mg  0.802  0.802  0.303
Co  0.500  0.500  0.500

Summary:
Its symmetry is C2/m. The crystal system is monoclinic. As for the calculated formation energy: 0.125 eV per atom.

A relaxed Ca2MgCo crystal. Source: Alexandria via LeMat-Bulk, functional PBE.

abc: 5.104 5.104 5.104
angles: 60.00 60.00 60.00
Atoms (fractional coordinates):
Ca  0.000  0.000  0.000
Ca  0.250  0.250  0.250
Mg  0.500  0.500  0.500
Co  0.750  0.750  0.750

Summary:
Its symmetry is F-43m. The crystal system is cubic. As for the calculated formation energy: 0.367 eV per atom.

A relaxed CaMgCo crystal. Source: Alexandria via LeMat-Bulk, functional PBE.

abc: 4.516 4.516 3.758
angles: 90.00 90.00 120.00
Atoms (fractional coordinates):
Ca  0.000  0.000  0.000
Mg  0.667  0.333  0.500
Co  0.333  0.667  0.501

Summary:
Its symmetry is P3m1. The crystal system is trigonal. As for the calculated formation energy: 0.326 eV per atom.